U2Ni3Ge4Ru: optimized geometry, PBE.

Calculated values
uncorrected energy	-7.156	eV/atom
calculated formation energy	-3.9	eV/f.u.
V	164	Å³/cell

Lattice parameters (Å, degrees): 4.111 4.111 9.690 90.00 90.00 90.00
Space group P-4m2 (No. 115)
One atom of each set of equivalent atoms:
1 U 0.000 0.500 0.249
2 Ni 0.000 0.500 0.878
3 Ni 0.500 0.500 0.500
4 Ge 0.000 0.000 0.000
5 Ge 0.000 0.500 0.640
6 Ge 0.500 0.500 0.000
7 Ru 0.000 0.000 0.500